This record from the Alexandria database describes an optimized crystal structure of KMg2InTe4. The functional is PBE.

```
KMg2InTe4
1.0
2.1321 -8.0826 0.0000
2.1321 8.0826 0.0000
0.0000 0.0000 15.9829
K Mg In Te
2 4 2 8
Cartesian
2.1321 5.6942 11.9872
2.1321 -5.6942 3.9957
2.1321 1.7048 9.0229
2.1321 1.7048 14.9514
2.1321 -1.7048 1.0314
2.1321 -1.7048 6.9600
2.1321 5.7420 3.9957
2.1321 -5.7420 11.9872
0.0000 0.0000 0.0000
0.0000 0.0000 7.9914
2.1321 4.3480 1.6015
2.1321 4.3480 6.3899
2.1321 0.4700 11.9872
2.1321 -0.4700 3.9957
2.1321 -4.3480 9.5930
2.1321 -4.3480 14.3814
```

Summary:
space-group type: Cmcm (63)
E_tot: -3.117 eV/atom
ΔE_f (raw): -0.67 eV per atom

---

This record from the Alexandria database describes an optimized crystal structure of TiPt2PbW. The functional is PBE.

```
TiPt2PbW
1.0
4.8223 0.0000 0.0000
0.0000 4.8223 0.0000
0.0000 0.0000 4.6680
Ti Pt Pb W
1 2 1 1
Cartesian
0.0000 0.0000 0.0000
0.0000 2.4112 0.0000
2.4112 0.0000 0.0000
2.4112 2.4112 2.3340
0.0000 0.0000 2.3340
```

Summary:
space-group type: P4/mmm (123)
E_tot: -6.412 eV/atom
Fermi-level density of states: 0.82 states/eV/atom
DFT formation energy: 0.916 eV per atom

---

This record from the Alexandria database describes an optimized crystal structure of AlCO2. The functional is PBE.

```
AlCO2
1.0
-2.4193 2.4193 3.9789
2.4193 -2.4193 3.9789
2.4193 2.4193 -3.9789
Al C O
2 2 4
Cartesian
0.0000 0.0000 0.0000
0.0000 2.4193 1.9894
2.4193 0.0000 1.9894
0.0000 0.0000 3.9789
3.6289 0.8326 -0.9947
0.8326 1.2096 0.9947
-1.2096 1.5867 2.9842
1.5867 1.2096 4.9736
```

Summary:
space-group type: I-42d (122)
E_tot: -5.919 eV/atom
energy above the most stable polymorph in this dataset: 304 meV per atom
ΔE_f (raw): -0.20 eV per atom
Fermi-level density of states: 0.05 states/eV/atom

---

This record from the Alexandria database describes an optimized crystal structure of ZnMo3As. The functional is PBE.

```
ZnMo3As
1.0
4.6109 0.0000 0.0000
0.0000 4.6109 0.0000
0.0000 0.0000 4.6109
Zn Mo As
1 3 1
Cartesian
0.0000 0.0000 0.0000
0.0000 2.3054 2.3054
2.3054 0.0000 2.3054
2.3054 2.3054 0.0000
2.3054 2.3054 2.3054
```

Summary:
space-group type: Pm-3m (221)
E_tot: -6.509 eV/atom
energy above the most stable polymorph in this dataset: 0 meV per atom
Fermi-level density of states: 1.72 states/eV/atom
DFT formation energy: 1.175 eV per atom

---

This record from the Alexandria database describes an optimized crystal structure of Cd2GaGe2. The functional is PBE.

```
Cd2GaGe2
1.0
6.9037 0.0000 0.0000
0.0000 6.9037 0.0000
0.0000 0.0000 4.6116
Cd Ga Ge
4 2 4
Cartesian
1.2436 2.2083 0.0000
2.2083 5.6602 0.0000
4.6954 1.2436 0.0000
5.6602 4.6954 0.0000
0.0000 0.0000 2.3058
3.4519 3.4519 2.3058
0.9211 4.3729 2.3058
2.5308 0.9211 2.3058
4.3729 5.9827 2.3058
5.9827 2.5308 2.3058
```

Summary:
space-group type: P4/mbm (127)
E_tot: -2.634 eV/atom
energy above the most stable polymorph in this dataset: 0 meV per atom
Fermi-level density of states: 0.45 states/eV/atom
DFT formation energy: 0.184 eV per atom